First-principles (GGA-PBE) data for crystalline GdBe3Co at its relaxed geometry, as listed in Alexandria via LeMat-Bulk.

Values from the calculation:
Density of states at the Fermi level   1.89 states/eV/cell
Formation energy   -0.09 eV per atom
Total energy   -6.560 eV per atom

Structure (POSCAR):
```
GdBe3Co
1.0
-0.4959 -3.7437 -1.5839
2.6892 -1.4987 2.7004
-3.0483 -0.7131 2.6399
Gd Co Be
1 1 3
direct
0.5000 0.5000 0.5000 Gd
0.0000 0.0000 0.0000 Co
0.0000 0.0000 0.5000 Be
0.5000 0.0000 0.0000 Be
0.0000 0.5000 0.0000 Be
```



First-principles (GGA-PBE) data for crystalline BSe3O at its relaxed geometry, as listed in Alexandria via LeMat-Bulk.

Values from the calculation:
Distance to the lowest polymorph of the same formula   0.000 eV/atom
Density of states at the Fermi level   3.86 states/eV/cell
Raw formation energy   5.7 eV per formula unit
Total energy   -3.275 eV per atom

Structure (POSCAR):
```
BSe3O
1.0
-3.2316 -2.9052 -0.3816
1.3908 -1.0207 -4.0066
2.5791 -3.0898 1.6824
Se B O
3 1 1
direct
0.0000 0.5000 0.0000 Se
0.5000 0.0000 0.0000 Se
0.0000 0.0000 0.5000 Se
0.0000 0.0000 0.0000 B
0.5000 0.5000 0.5000 O
```



First-principles (GGA-PBE) data for crystalline La4Ni3Ge at its relaxed geometry, as listed in Alexandria via LeMat-Bulk.

Values from the calculation:
Density of states at the Fermi level   5.92 states/eV/cell
Formation energy   -0.45 eV per atom
Total energy   -5.660 eV per atom

Structure (POSCAR):
```
La4Ni3Ge
1.0
4.1174 0.0000 0.0000
0.0000 4.3582 0.0000
0.0000 0.0000 10.7584
Ni La Ge
3 4 1
direct
0.0000 0.0000 0.4376 Ni
0.0000 0.5000 0.5699 Ni
0.5000 0.0000 0.9289 Ni
0.0000 0.0000 0.1407 La
0.5000 0.5000 0.3703 La
0.5000 0.0000 0.6356 La
0.0000 0.5000 0.8516 La
0.5000 0.5000 0.0654 Ge
```



First-principles (GGA-PBE) data for crystalline Rh6Pb7 at its relaxed geometry, as listed in Alexandria via LeMat-Bulk.

Values from the calculation:
Density of states at the Fermi level   15.44 states/eV/cell
Formation energy   0.65 eV per atom
Total energy   -4.738 eV per atom

Structure (POSCAR):
```
Rh6Pb7
1.0
9.7923 -0.0463 -0.0287
7.8114 5.9054 -0.0287
7.8114 2.5999 5.3024
Pb Rh
7 6
direct
0.4204 0.9329 0.4204 Pb
0.0671 0.5796 0.5796 Pb
0.5796 0.0671 0.5796 Pb
0.4204 0.4204 0.9329 Pb
0.9329 0.4204 0.4204 Pb
0.5000 0.5000 0.5000 Pb
0.5796 0.5796 0.0671 Pb
0.1794 0.1794 0.1794 Rh
0.8206 0.8206 0.8206 Rh
0.0482 0.0482 0.0482 Rh
0.3362 0.3362 0.3362 Rh
0.9518 0.9518 0.9518 Rh
0.6638 0.6638 0.6638 Rh
```



First-principles (GGA-PBE) data for crystalline LaCoTe2 at its relaxed geometry, as listed in Alexandria via LeMat-Bulk.

Values from the calculation:
Density of states at the Fermi level   3.89 states/eV/cell
Raw formation energy   -2.9 eV per formula unit
Total energy   -5.302 eV per atom

Structure (POSCAR):
```
LaCoTe2
1.0
4.3909 0.0000 0.0000
0.0000 4.3445 -0.0089
0.0000 2.1857 6.1773
Te La Co
2 1 1
direct
0.5000 0.4003 0.3241 Te
0.0000 0.1011 0.9226 Te
0.5000 0.6946 0.7354 La
0.0000 0.3040 0.5179 Co
```



First-principles (GGA-PBE) data for crystalline MgFeBr2 at its relaxed geometry, as listed in Alexandria via LeMat-Bulk.

Values from the calculation:
Distance to the lowest polymorph of the same formula   0.384 eV/atom
Density of states at the Fermi level   2.47 states/eV/cell
Raw formation energy   0.4 eV per formula unit
Total energy   -3.260 eV per atom

Structure (POSCAR):
```
MgFeBr2
1.0
0.0000 3.4446 3.4446
3.4446 0.0000 3.4446
3.4446 3.4446 0.0000
Mg Fe Br
1 1 2
direct
0.0000 0.0000 0.0000 Mg
0.5000 0.5000 0.5000 Fe
0.7500 0.7500 0.7500 Br
0.2500 0.2500 0.2500 Br
```



First-principles (GGA-PBE) data for crystalline InBi4Pb at its relaxed geometry, as listed in Alexandria via LeMat-Bulk.

Values from the calculation:
Density of states at the Fermi level   3.68 states/eV/cell
Formation energy   0.18 eV per atom
Total energy   -3.485 eV per atom

Structure (POSCAR):
```
InBi4Pb
1.0
6.6059 0.0000 0.0000
3.3029 5.7208 0.0000
3.3029 1.9069 5.3937
Bi Pb In
4 1 1
direct
0.1248 0.6251 0.6251 Bi
0.6251 0.6251 0.6251 Bi
0.6251 0.6251 0.1248 Bi
0.6251 0.1248 0.6251 Bi
0.0000 0.0000 0.0000 Pb
0.2500 0.2500 0.2500 In
```



First-principles (GGA-PBE) data for crystalline Rb3NbTl2S6 at its relaxed geometry, as listed in Alexandria via LeMat-Bulk.

Values from the calculation:
Density of states at the Fermi level   2.20 states/eV/cell
Raw formation energy   -9.5 eV per formula unit
Total energy   -4.331 eV per atom

Structure (POSCAR):
```
Rb3NbTl2S6
1.0
-6.4438 -2.2670 -2.0616
5.5965 -4.4152 -0.3115
-1.1394 -0.0727 7.7492
Rb Nb Tl S
3 1 2 6
direct
0.8231 0.1769 0.5000 Rb
0.5000 0.5000 0.5000 Rb
0.1769 0.8231 0.5000 Rb
0.0000 0.0000 0.0000 Nb
0.3348 0.6652 0.0000 Tl
0.6652 0.3348 0.0000 Tl
0.0630 0.3538 0.1879 S
0.2246 0.2246 0.8081 S
0.9370 0.6462 0.8121 S
0.7754 0.7754 0.1919 S
0.6462 0.9370 0.8121 S
0.3538 0.0630 0.1879 S
```